Record 1
# Y2TcAu

A PBEsol-optimized structure of Y2TcAu (meta-GGA SCAN, the Alexandria database).

CIF file:
```
data_Y2TcAu
_space_group_name_H-M_alt 'P 1'
_space_group_IT_number 1
_cell_length_a 3.495
_cell_length_b 4.853
_cell_length_c 4.853
_cell_angle_alpha 90.00
_cell_angle_beta 90.00
_cell_angle_gamma 90.00
loop_
_space_group_symop_operation_xyz
'x,y,z'
loop_
_atom_site_label
_atom_site_fract_x
_atom_site_fract_y
_atom_site_fract_z
Tc1 0.000 0.000 0.000
Y1 0.500 0.000 0.500
Y2 0.500 0.500 0.000
Au1 0.000 0.500 0.500
```

DOS(E_F): 2.652 states/eV/f.u.
E_tot: -40.4693 eV/atom
formation energy: -0.494 eV per atom

***

Record 2
# TaHgCl3

A PBEsol-optimized structure of TaHgCl3 (meta-GGA SCAN, the Alexandria database).

CIF file:
```
data_TaHgCl3
_space_group_name_H-M_alt 'P 1'
_space_group_IT_number 1
_cell_length_a 5.117
_cell_length_b 5.117
_cell_length_c 5.117
_cell_angle_alpha 90.00
_cell_angle_beta 90.00
_cell_angle_gamma 90.00
loop_
_space_group_symop_operation_xyz
'x,y,z'
loop_
_atom_site_label
_atom_site_fract_x
_atom_site_fract_y
_atom_site_fract_z
Ta1 0.500 0.500 0.500
Cl1 0.000 0.000 0.500
Cl2 0.000 0.500 0.000
Hg1 0.000 0.000 0.000
Cl3 0.500 0.000 0.000
```

offset from the most stable computed form: 1400.6 meV per atom
DOS(E_F): 4.841 states/eV/f.u.
E_tot: -30.9845 eV/atom

***

Record 3
# Ba2Cd

A PBEsol-optimized structure of Ba2Cd (meta-GGA SCAN, the Alexandria database).

CIF file:
```
data_Ba2Cd
_space_group_name_H-M_alt 'P 1'
_space_group_IT_number 1
_cell_length_a 4.393
_cell_length_b 7.929
_cell_length_c 8.624
_cell_angle_alpha 73.42
_cell_angle_beta 75.24
_cell_angle_gamma 73.91
loop_
_space_group_symop_operation_xyz
'x,y,z'
loop_
_atom_site_label
_atom_site_fract_x
_atom_site_fract_y
_atom_site_fract_z
Ba1 0.165 0.240 0.429
Ba2 0.592 0.707 0.109
Cd1 0.883 0.056 0.178
Ba3 0.408 0.293 0.891
Cd2 0.117 0.944 0.822
Ba4 0.835 0.760 0.571
```

DOS(E_F): 2.963 states/eV/f.u.
E_tot: -36.7354 eV/atom
formation energy: -0.230 eV per atom

***

Record 4
# SmFePO

A PBEsol-optimized structure of SmFePO (meta-GGA SCAN, the Alexandria database).

CIF file:
```
data_SmFePO
_space_group_name_H-M_alt 'P 1'
_space_group_IT_number 1
_cell_length_a 3.834
_cell_length_b 3.834
_cell_length_c 8.002
_cell_angle_alpha 90.00
_cell_angle_beta 90.00
_cell_angle_gamma 90.00
loop_
_space_group_symop_operation_xyz
'x,y,z'
loop_
_atom_site_label
_atom_site_fract_x
_atom_site_fract_y
_atom_site_fract_z
Sm1 0.500 0.000 0.149
Fe1 0.000 0.000 0.500
P1 0.500 0.000 0.632
O1 0.500 0.500 0.000
O2 0.000 0.000 0.000
Sm2 0.000 0.500 0.851
Fe2 0.500 0.500 0.500
P2 0.000 0.500 0.368
```

DOS(E_F): 1.689 states/eV/f.u.
E_tot: -21.8454 eV/atom

***

Record 5
# InFeRe

A PBEsol-optimized structure of InFeRe (meta-GGA SCAN, the Alexandria database).

CIF file:
```
data_InFeRe
_space_group_name_H-M_alt 'P 1'
_space_group_IT_number 1
_cell_length_a 2.802
_cell_length_b 2.802
_cell_length_c 5.938
_cell_angle_alpha 103.65
_cell_angle_beta 103.65
_cell_angle_gamma 90.00
loop_
_space_group_symop_operation_xyz
'x,y,z'
loop_
_atom_site_label
_atom_site_fract_x
_atom_site_fract_y
_atom_site_fract_z
In1 0.341 0.341 0.682
Re1 0.645 0.645 0.289
Fe1 0.014 0.014 0.028
```

DOS(E_F): 1.818 states/eV/f.u.
E_tot: -40.5672 eV/atom
formation energy: 0.304 eV per atom

***

Record 6
# CrOs2W

A PBEsol-optimized structure of CrOs2W (meta-GGA SCAN, the Alexandria database).

CIF file:
```
data_CrOs2W
_space_group_name_H-M_alt 'P 1'
_space_group_IT_number 1
_cell_length_a 2.682
_cell_length_b 4.133
_cell_length_c 5.179
_cell_angle_alpha 90.00
_cell_angle_beta 103.54
_cell_angle_gamma 90.00
loop_
_space_group_symop_operation_xyz
'x,y,z'
loop_
_atom_site_label
_atom_site_fract_x
_atom_site_fract_y
_atom_site_fract_z
Cr1 0.500 0.500 0.500
W1 0.500 0.500 0.000
Os1 0.879 0.000 0.734
Os2 0.121 0.000 0.266
```

offset from the most stable computed form: 103.5 meV per atom
DOS(E_F): 3.257 states/eV/f.u.
E_tot: -57.7878 eV/atom
formation energy: 0.170 eV per atom

***

Record 7
# Co3OsW

A PBEsol-optimized structure of Co3OsW (meta-GGA SCAN, the Alexandria database).

CIF file:
```
data_Co3OsW
_space_group_name_H-M_alt 'P 1'
_space_group_IT_number 1
_cell_length_a 4.265
_cell_length_b 4.265
_cell_length_c 4.265
_cell_angle_alpha 90.00
_cell_angle_beta 90.00
_cell_angle_gamma 90.00
loop_
_space_group_symop_operation_xyz
'x,y,z'
loop_
_atom_site_label
_atom_site_fract_x
_atom_site_fract_y
_atom_site_fract_z
Co1 0.500 0.000 0.000
Co2 0.000 0.500 0.000
Os1 0.500 0.500 0.500
W1 0.000 0.000 0.000
Co3 0.000 0.000 0.500
```

offset from the most stable computed form: 0.0 meV per atom
DOS(E_F): 3.739 states/eV/f.u.
E_tot: -36.5730 eV/atom
formation energy: 2.123 eV per atom

***

Record 8
# YMg2Ni2

A PBEsol-optimized structure of YMg2Ni2 (meta-GGA SCAN, the Alexandria database).

CIF file:
```
data_YMg2Ni2
_space_group_name_H-M_alt 'P 1'
_space_group_IT_number 1
_cell_length_a 3.940
_cell_length_b 3.940
_cell_length_c 6.351
_cell_angle_alpha 108.07
_cell_angle_beta 108.07
_cell_angle_gamma 90.00
loop_
_space_group_symop_operation_xyz
'x,y,z'
loop_
_atom_site_label
_atom_site_fract_x
_atom_site_fract_y
_atom_site_fract_z
Mg1 0.750 0.250 0.500
Ni1 0.402 0.402 0.803
Mg2 0.250 0.750 0.500
Y1 0.000 0.000 0.000
Ni2 0.598 0.598 0.197
```

DOS(E_F): 2.980 states/eV/f.u.
E_tot: -14.2581 eV/atom
formation energy: -0.231 eV per atom